Entry 1:
{
  "formula": "KTeIr2",
  "functional": "GGA-PBE",
  "state": "optimized geometry",
  "spacegroup": "Imm2, No. 44",
  "formation_energy_uncorrected_ev_per_atom": 0.528,
  "magmom_total_mub_per_atom": 0.000,
  "cell": [[-0.010, -4.254, -4.555], [-3.327, -5.227, 0.669], [0.560, 6.177, -0.610]],
  "species": ["Ir", "Ir", "K", "Te"],
  "frac_coords": [[0.001, 0.001, 0.000], [0.201, 0.701, 0.500], [0.503, 0.503, 0.000], [0.795, 0.295, 0.500]]
}

=====

Entry 2:
{
  "formula": "ReOs2C",
  "functional": "GGA-PBE",
  "state": "optimized geometry",
  "spacegroup": "I-42d, No. 122",
  "formation_enthalpy_0k_mev_per_atom": 867,
  "magmom_total_mub_per_atom": 0.000,
  "cell": [[5.079, 0.000, 0.000], [0.000, 5.079, 0.000], [2.539, 2.539, 5.044]],
  "species": ["Re", "Re", "C", "C", "Os", "Os", "Os", "Os"],
  "frac_coords": [[0.000, 0.000, 0.000], [0.750, 0.250, 0.500], [0.500, 0.500, 0.000], [0.250, 0.750, 0.500], [0.552, 0.125, 0.250], [0.198, 0.625, 0.250], [0.375, 0.448, 0.750], [0.875, 0.802, 0.750]]
}

=====

Entry 3:
{
  "formula": "NiPW2",
  "functional": "GGA-PBE",
  "state": "optimized geometry",
  "spacegroup": "Imm2, No. 44",
  "formation_enthalpy_0k_mev_per_atom": -68,
  "magmom_total_mub_per_atom": 0.000,
  "cell": [[-3.550, 1.356, 3.230], [-0.275, 4.849, 1.133], [-0.230, -3.390, -3.651]],
  "species": ["Ni", "P", "W", "W"],
  "frac_coords": [[0.533, 0.533, 0.000], [0.735, 0.235, 0.500], [0.970, 0.970, 0.000], [0.261, 0.761, 0.500]]
}

=====

Entry 4:
{
  "formula": "OsSCl",
  "functional": "GGA-PBE",
  "state": "optimized geometry",
  "spacegroup": "P1, No. 1",
  "formation_energy_uncorrected_ev_per_atom": 0.008,
  "magmom_total_mub_per_atom": 0.000,
  "cell": [[-2.391, 1.537, 1.074], [-3.216, -1.413, -5.144], [-1.404, -5.662, 3.899]],
  "species": ["S", "S", "Os", "Os", "Cl", "Cl"],
  "frac_coords": [[0.902, 0.159, 0.124], [0.397, 0.653, 0.093], [0.874, 0.832, 0.909], [0.874, 0.402, 0.909], [0.844, 0.074, 0.687], [0.837, 0.561, 0.619]]
}

=====

Entry 5:
{
  "formula": "CaAgW2",
  "functional": "GGA-PBE",
  "state": "optimized geometry",
  "spacegroup": "Cmmm, No. 65",
  "e_above_lowest_polymorph_ev_per_atom": 0.343,
  "formation_enthalpy_0k_mev_per_atom": 826,
  "magmom_total_mub_per_atom": 0.000,
  "cell": [[2.734, 0.001, 0.000], [-0.580, 2.672, 0.000], [0.000, 0.000, 10.047]],
  "species": ["Ca", "Ag", "W", "W"],
  "frac_coords": [[0.500, 0.500, 0.750], [0.500, 0.500, 0.250], [0.000, 0.000, 0.016], [0.000, 0.000, 0.484]]
}

=====

Entry 6:
{
  "formula": "PrNiH3",
  "functional": "GGA-PBE",
  "state": "optimized geometry",
  "final_energy_ev_per_atom": -4.53,
  "spacegroup": "P2_1/m, No. 11",
  "magmom_total_mub_per_atom": 0.000,
  "cell": [[4.833, 0.000, 0.000], [0.000, 5.606, 0.944], [0.000, -1.003, 7.798]],
  "species": ["Pr", "Pr", "Pr", "Pr", "Ni", "Ni", "Ni", "Ni", "H", "H", "H", "H", "H", "H", "H", "H", "H", "H", "H", "H"],
  "frac_coords": [[0.750, 0.002, 0.699], [0.250, 0.998, 0.301], [0.250, 0.498, 0.801], [0.750, 0.502, 0.199], [0.250, 0.504, 0.440], [0.750, 0.496, 0.560], [0.750, 0.996, 0.060], [0.250, 0.004, 0.940], [0.009, 0.695, 0.526], [0.991, 0.305, 0.474], [0.509, 0.805, 0.974], [0.491, 0.195, 0.026], [0.490, 0.695, 0.527], [0.510, 0.305, 0.473], [0.990, 0.805, 0.973], [0.010, 0.195, 0.027], [0.250, 0.550, 0.236], [0.750, 0.450, 0.764], [0.750, 0.950, 0.264], [0.250, 0.050, 0.736]]
}

=====

Entry 7:
{
  "formula": "MgOsBr",
  "functional": "GGA-PBE",
  "state": "optimized geometry",
  "spacegroup": "P-6m2, No. 187",
  "formation_energy_uncorrected_ev_per_atom": 0.705,
  "e_above_lowest_polymorph_ev_per_atom": 0.154,
  "magmom_total_mub_per_atom": 0.000,
  "cell": [[4.456, 0.000, 0.000], [-2.228, 3.859, 0.000], [0.000, 0.000, 3.071]],
  "species": ["Br", "Mg", "Os"],
  "frac_coords": [[0.000, 0.000, 0.833], [0.333, 0.667, 0.333], [0.667, 0.333, 0.833]]
}

=====

Entry 8:
{
  "formula": "CsPbAu3",
  "functional": "GGA-PBE",
  "state": "optimized geometry",
  "spacegroup": "Pm-3m, No. 221",
  "e_above_lowest_polymorph_ev_per_atom": 0.000,
  "formation_enthalpy_0k_mev_per_atom": -23,
  "magmom_total_mub_per_atom": 0.000,
  "cell": [[-2.541, 2.153, 4.448], [-1.327, -5.115, 1.717], [4.760, -0.277, 2.854]],
  "species": ["Pb", "Cs", "Au", "Au", "Au"],
  "frac_coords": [[0.000, 0.000, 0.000], [0.500, 0.500, 0.500], [0.000, 0.500, 0.000], [0.000, 0.000, 0.500], [0.500, 0.000, 0.000]]
}

=====

Entry 9:
{
  "formula": "TeOs2Pt",
  "functional": "GGA-PBE",
  "state": "optimized geometry",
  "spacegroup": "R-3m, No. 166",
  "formation_energy_uncorrected_ev_per_atom": 0.807,
  "magmom_total_mub_per_atom": 0.000,
  "cell": [[8.703, 0.002, 0.001], [8.185, 2.957, 0.001], [8.185, 1.434, 2.586]],
  "species": ["Os", "Os", "Pt", "Te"],
  "frac_coords": [[0.001, 0.001, 0.001], [0.499, 0.499, 0.499], [0.250, 0.250, 0.250], [0.750, 0.750, 0.750]]
}

=====

Entry 10:
{
  "formula": "Hf4UN4",
  "functional": "GGA-PBE",
  "state": "optimized geometry",
  "spacegroup": "I4/m, No. 87",
  "formation_energy_uncorrected_ev_per_atom": -1.421,
  "magmom_total_mub_per_atom": 0.228,
  "cell": [[4.211, 0.000, 1.688], [2.067, 5.191, 0.940], [0.174, -0.098, 5.661]],
  "species": ["Hf", "Hf", "Hf", "Hf", "U", "N", "N", "N", "N"],
  "frac_coords": [[0.602, 0.591, 0.205], [0.398, 0.409, 0.795], [0.193, 0.205, 0.409], [0.807, 0.795, 0.591], [0.000, 0.000, 0.000], [0.901, 0.405, 0.793], [0.099, 0.595, 0.207], [0.306, 0.793, 0.595], [0.694, 0.207, 0.405]]
}

=====

Entry 11:
{
  "formula": "ScTl2Hg",
  "functional": "GGA-PBE",
  "state": "optimized geometry",
  "spacegroup": "P4/mmm, No. 123",
  "formation_enthalpy_0k_mev_per_atom": -126,
  "magmom_total_mub_per_atom": 0.000,
  "cell": [[4.653, 0.000, 0.000], [0.000, 4.649, 0.000], [0.000, 0.000, 4.492]],
  "species": ["Sc", "Tl", "Tl", "Hg"],
  "frac_coords": [[0.000, 0.500, 0.500], [0.000, 0.000, 0.000], [0.500, 0.500, 0.000], [0.500, 0.000, 0.500]]
}

=====

Entry 12:
{
  "formula": "OsSeCl3",
  "functional": "GGA-PBE",
  "state": "optimized geometry",
  "spacegroup": "P2/c, No. 13",
  "formation_energy_uncorrected_ev_per_atom": -0.305,
  "e_above_lowest_polymorph_ev_per_atom": 0.000,
  "magmom_total_mub_per_atom": 0.000,
  "cell": [[-4.227, 4.311, -4.683], [2.292, -4.923, -6.601], [-8.452, -6.310, 1.771]],
  "species": ["Os", "Os", "Os", "Os", "Se", "Se", "Se", "Se", "Cl", "Cl", "Cl", "Cl", "Cl", "Cl", "Cl", "Cl", "Cl", "Cl", "Cl", "Cl"],
  "frac_coords": [[0.062, 0.356, 0.125], [0.062, 0.644, 0.625], [0.938, 0.356, 0.375], [0.938, 0.644, 0.875], [0.948, 0.084, 0.352], [0.052, 0.084, 0.148], [0.948, 0.916, 0.852], [0.052, 0.916, 0.648], [0.670, 0.338, 0.479], [0.670, 0.662, 0.979], [0.232, 0.607, 0.805], [0.066, 0.647, 0.081], [0.232, 0.393, 0.305], [0.330, 0.662, 0.521], [0.934, 0.647, 0.419], [0.768, 0.607, 0.695], [0.934, 0.353, 0.919], [0.768, 0.393, 0.195], [0.330, 0.338, 0.021], [0.066, 0.353, 0.581]]
}